Entry 1:
A plane-wave DFT calculation with PBE-GGA was carried out for an optimized crystal structure of LaRu2I.

The structure belongs to space group I-42d (No. 122); the cell edges are 4.7862, 4.7862 and 17.3675 Å and the angles 90.00°, 90.00° and 90.00°. The asymmetric unit holds La at (0.0000, 0.0000, 0.0000), Ru at (0.1204, 0.2500, 0.6250) and I at (0.0000, 0.0000, 0.5000).

The electronic total energy comes out at -5.89 eV per atom. For the magnetic moment, the calculation gives 0.00 μB/atom. Its density is 7.8 g/cm³.

***

Entry 2:
A plane-wave DFT calculation with PBE-GGA was carried out for an optimized crystal structure of CrFe2P.

The structure belongs to space group Cmm2 (No. 35); the cell edges are 3.0649, 4.1843 and 7.3105 Å and the angles 90.00°, 90.00° and 90.00°. The asymmetric unit holds Cr at (0.0000, 0.0000, 0.0000), Fe at (0.0000, 0.0000, 0.4684), Fe at (0.0000, 0.5000, 0.7334) and P at (0.0000, 0.5000, 0.2348).

The electronic total energy comes out at -7.93 eV per atom. For the magnetic moment, the calculation gives 1.18 μB/atom. Its density is 6.9 g/cm³. For the energy relative to the elements, the calculation gives 0.0624 eV/atom.

***

Entry 3:
A plane-wave DFT calculation with PBE-GGA was carried out for an optimized crystal structure of NaNdHgPd.

The structure belongs to space group F-43m (No. 216); the cell edges are 7.2542, 7.2542 and 7.2542 Å and the angles 90.00°, 90.00° and 90.00°. The asymmetric unit holds Na at (0.0000, 0.0000, 0.0000), Nd at (0.0000, 0.0000, 0.5000), Hg at (0.2500, 0.2500, 0.7500) and Pd at (0.2500, 0.2500, 0.2500).

The electronic total energy comes out at -3.27 eV per atom. For the magnetic moment, the calculation gives 0.00 μB/atom. Its density is 8.3 g/cm³. For the energy relative to the elements, the calculation gives -0.3785 eV/atom.

***

Entry 4:
A plane-wave DFT calculation with PBE-GGA was carried out for an optimized crystal structure of NaCd3F.

The structure belongs to space group Pm-3m (No. 221); the cell edges are 5.0322, 5.0322 and 5.0322 Å and the angles 90.00°, 90.00° and 90.00°. The asymmetric unit holds Na at (0.0000, 0.0000, 0.0000), Cd at (0.0000, 0.5000, 0.5000) and F at (0.5000, 0.5000, 0.5000).

The electronic total energy comes out at -1.59 eV per atom. For the magnetic moment, the calculation gives 0.00 μB/atom. Its density is 4.9 g/cm³.

***

Entry 5:
A plane-wave DFT calculation with PBE-GGA was carried out for an optimized crystal structure of Pa2GaCo4Ge3.

The structure belongs to space group P-4m2 (No. 115); the cell edges are 3.9711, 3.9711 and 9.9416 Å and the angles 90.00°, 90.00° and 90.00°. The asymmetric unit holds Pa at (0.0000, 0.5000, 0.2497), Ga at (0.0000, 0.0000, 0.5000), Co at (0.0000, 0.0000, 0.0000), Co at (0.0000, 0.5000, 0.6385), Co at (0.5000, 0.5000, 0.0000), Ge at (0.0000, 0.5000, 0.8709) and Ge at (0.5000, 0.5000, 0.5000).

The electronic total energy comes out at -6.96 eV per atom. For the magnetic moment, the calculation gives 0.00 μB/atom. Its density is 10.4 g/cm³. For the energy relative to the elements, the calculation gives -0.5297 eV/atom.

***

Entry 6:
A plane-wave DFT calculation with PBE-GGA was carried out for an optimized crystal structure of RbAsO3.

The structure belongs to space group Pmm2 (No. 25); the cell edges are 3.1671, 6.2180 and 4.1320 Å and the angles 90.00°, 90.00° and 90.00°. The asymmetric unit holds Rb at (0.0000, 0.0000, 0.0000), As at (0.5000, 0.5000, 0.3788), O at (0.0000, 0.5000, 0.1307) and O at (0.5000, 0.2555, 0.5472).

The electronic total energy comes out at -5.43 eV per atom. For the magnetic moment, the calculation gives 0.00 μB/atom. Its density is 4.3 g/cm³.

***

Entry 7:
A plane-wave DFT calculation with PBE-GGA was carried out for an optimized crystal structure of Hf2CdSb2.

The structure belongs to space group P4/mbm (No. 127); the cell edges are 8.0302, 8.0302 and 3.6685 Å and the angles 90.00°, 90.00° and 90.00°. The asymmetric unit holds Hf at (0.1356, 0.3644, 0.0000), Cd at (0.0000, 0.0000, 0.5000) and Sb at (0.1544, 0.6544, 0.5000).

The electronic total energy comes out at -5.98 eV per atom. For the magnetic moment, the calculation gives 0.00 μB/atom. Its density is 10.0 g/cm³.

***

Entry 8:
A plane-wave DFT calculation with PBE-GGA was carried out for an optimized crystal structure of Rb3NbV.

The structure belongs to space group Pm-3m (No. 221); the cell edges are 6.9658, 6.9658 and 6.9658 Å and the angles 90.00°, 90.00° and 90.00°. The asymmetric unit holds Rb at (0.0000, 0.0000, 0.5000), Nb at (0.0000, 0.0000, 0.0000) and V at (0.5000, 0.5000, 0.5000).

The electronic total energy comes out at -2.55 eV per atom. For the magnetic moment, the calculation gives 1.85 μB/atom. Its density is 2.0 g/cm³. For the energy relative to the elements, the calculation gives 1.8717 eV/atom.

***

Which value of magnetic moment does entry 7 give? 0.00 μB/atom